Here is a relaxed HfPaP2 crystal from Alexandria. Energies are from PBE.

Values from the calculation:
Energy relative to the elements, eV per atom: -1.195
Symmetry: R3m (160)

Cell and atoms, written as CIF:
```
data_HfPaP2
_cell_length_a 7.107
_cell_length_b 7.107
_cell_length_c 7.107
_cell_angle_alpha 30.19
_cell_angle_beta 30.19
_cell_angle_gamma 30.19
_symmetry_space_group_name_H-M 'P 1'
_symmetry_Int_Tables_number 1
loop_
_symmetry_equiv_pos_as_xyz
'x,y,z'
loop_
_atom_site_label
_atom_site_type_symbol
_atom_site_fract_x
_atom_site_fract_y
_atom_site_fract_z
_atom_site_occupancy
Hf1 Hf 0.000 0.000 0.000 1
Pa1 Pa 0.827 0.827 0.827 1
P1 P 0.406 0.406 0.406 1
P2 P 0.587 0.587 0.587 1
```

Here is a relaxed LiIr2Ru crystal from Alexandria. Energies are from PBE.

Values from the calculation:
Energy relative to the elements, eV per atom: 0.037
Symmetry: Pmm2 (25)

Cell and atoms, written as CIF:
```
data_LiIr2Ru
_cell_length_a 2.714
_cell_length_b 3.877
_cell_length_c 5.202
_cell_angle_alpha 90.00
_cell_angle_beta 90.00
_cell_angle_gamma 90.00
_symmetry_space_group_name_H-M 'P 1'
_symmetry_Int_Tables_number 1
loop_
_symmetry_equiv_pos_as_xyz
'x,y,z'
loop_
_atom_site_label
_atom_site_type_symbol
_atom_site_fract_x
_atom_site_fract_y
_atom_site_fract_z
_atom_site_occupancy
Li1 Li 0.000 0.000 0.000 1
Ir1 Ir 0.000 0.000 0.498 1
Ir2 Ir 0.500 0.500 0.772 1
Ru1 Ru 0.500 0.500 0.255 1
```

Here is a relaxed AcPrGdAl crystal from Alexandria. Energies are from PBE.

Values from the calculation:
Energy relative to the elements, eV per atom: -0.020
Symmetry: F-43m (216)

Cell and atoms, written as CIF:
```
data_AcPrGdAl
_cell_length_a 5.638
_cell_length_b 5.638
_cell_length_c 5.638
_cell_angle_alpha 60.00
_cell_angle_beta 60.00
_cell_angle_gamma 60.00
_symmetry_space_group_name_H-M 'P 1'
_symmetry_Int_Tables_number 1
loop_
_symmetry_equiv_pos_as_xyz
'x,y,z'
loop_
_atom_site_label
_atom_site_type_symbol
_atom_site_fract_x
_atom_site_fract_y
_atom_site_fract_z
_atom_site_occupancy
Ac1 Ac 0.000 0.000 0.000 1
Pr1 Pr 0.500 0.500 0.500 1
Gd1 Gd 0.250 0.250 0.250 1
Al1 Al 0.750 0.750 0.750 1
```

Here is a relaxed CoSiIN2 crystal from Alexandria. Energies are from PBE.

Values from the calculation:
Uncorrected formation energy, eV/atom: 1.46
Symmetry: P4/mmm (123)

Cell and atoms, written as CIF:
```
data_CoSiIN2
_cell_length_a 3.685
_cell_length_b 3.685
_cell_length_c 7.046
_cell_angle_alpha 90.00
_cell_angle_beta 90.00
_cell_angle_gamma 90.00
_symmetry_space_group_name_H-M 'P 1'
_symmetry_Int_Tables_number 1
loop_
_symmetry_equiv_pos_as_xyz
'x,y,z'
loop_
_atom_site_label
_atom_site_type_symbol
_atom_site_fract_x
_atom_site_fract_y
_atom_site_fract_z
_atom_site_occupancy
Co1 Co 0.000 0.000 0.000 1
Si1 Si 0.500 0.500 0.500 1
I1 I 0.000 0.000 0.500 1
N1 N 0.000 0.500 0.000 1
N2 N 0.500 0.000 0.000 1
```

Here is a relaxed KNa2Au2 crystal from Alexandria. Energies are from PBE.

Values from the calculation:
Energy relative to the elements, eV per atom: -0.282
Symmetry: I4/mmm (139)

Cell and atoms, written as CIF:
```
data_KNa2Au2
_cell_length_a 7.429
_cell_length_b 7.429
_cell_length_c 7.429
_cell_angle_alpha 143.32
_cell_angle_beta 143.32
_cell_angle_gamma 52.85
_symmetry_space_group_name_H-M 'P 1'
_symmetry_Int_Tables_number 1
loop_
_symmetry_equiv_pos_as_xyz
'x,y,z'
loop_
_atom_site_label
_atom_site_type_symbol
_atom_site_fract_x
_atom_site_fract_y
_atom_site_fract_z
_atom_site_occupancy
K1 K 0.000 0.000 0.000 1
Na1 Na 0.250 0.750 0.500 1
Na2 Na 0.750 0.250 0.500 1
Au1 Au 0.396 0.396 0.000 1
Au2 Au 0.604 0.604 0.000 1
```

Here is a relaxed GdYAgIr crystal from Alexandria. Energies are from PBE.

Values from the calculation:
Energy relative to the elements, eV per atom: -0.562
Symmetry: F-43m (216)

Cell and atoms, written as CIF:
```
data_GdYAgIr
_cell_length_a 5.005
_cell_length_b 5.005
_cell_length_c 5.005
_cell_angle_alpha 60.00
_cell_angle_beta 60.00
_cell_angle_gamma 60.00
_symmetry_space_group_name_H-M 'P 1'
_symmetry_Int_Tables_number 1
loop_
_symmetry_equiv_pos_as_xyz
'x,y,z'
loop_
_atom_site_label
_atom_site_type_symbol
_atom_site_fract_x
_atom_site_fract_y
_atom_site_fract_z
_atom_site_occupancy
Gd1 Gd 0.000 0.000 0.000 1
Y1 Y 0.500 0.500 0.500 1
Ag1 Ag 0.750 0.750 0.750 1
Ir1 Ir 0.250 0.250 0.250 1
```

Here is a relaxed Ho2Sc3S4 crystal from Alexandria. Energies are from PBE.

Values from the calculation:
Uncorrected formation energy, eV/atom: -1.69
Symmetry: P-3m1 (164)

Cell and atoms, written as CIF:
```
data_Ho2Sc3S4
_cell_length_a 3.726
_cell_length_b 3.726
_cell_length_c 15.158
_cell_angle_alpha 90.00
_cell_angle_beta 90.00
_cell_angle_gamma 120.00
_symmetry_space_group_name_H-M 'P 1'
_symmetry_Int_Tables_number 1
loop_
_symmetry_equiv_pos_as_xyz
'x,y,z'
loop_
_atom_site_label
_atom_site_type_symbol
_atom_site_fract_x
_atom_site_fract_y
_atom_site_fract_z
_atom_site_occupancy
Ho1 Ho 0.333 0.667 0.210 1
Ho2 Ho 0.667 0.333 0.790 1
Sc1 Sc 0.000 0.000 0.000 1
Sc2 Sc 0.333 0.667 0.585 1
Sc3 Sc 0.667 0.333 0.415 1
S1 S 0.000 0.000 0.319 1
S2 S 0.000 0.000 0.681 1
S3 S 0.333 0.667 0.902 1
S4 S 0.667 0.333 0.098 1
```

Here is a relaxed CrCoRe2Hg crystal from Alexandria. Energies are from PBE.

Values from the calculation:
Energy relative to the elements, eV per atom: 1.892
Symmetry: P4/mmm (123)

Cell and atoms, written as CIF:
```
data_CrCoRe2Hg
_cell_length_a 4.396
_cell_length_b 4.396
_cell_length_c 4.652
_cell_angle_alpha 90.00
_cell_angle_beta 90.00
_cell_angle_gamma 90.00
_symmetry_space_group_name_H-M 'P 1'
_symmetry_Int_Tables_number 1
loop_
_symmetry_equiv_pos_as_xyz
'x,y,z'
loop_
_atom_site_label
_atom_site_type_symbol
_atom_site_fract_x
_atom_site_fract_y
_atom_site_fract_z
_atom_site_occupancy
Cr1 Cr 0.000 0.000 0.000 1
Co1 Co 0.500 0.500 0.500 1
Re1 Re 0.000 0.500 0.500 1
Re2 Re 0.500 0.000 0.500 1
Hg1 Hg 0.500 0.500 0.000 1
```

Here is a relaxed Tb4Pr5Dy3 crystal from Alexandria. Energies are from PBE.

Values from the calculation:
Energy relative to the elements, eV per atom: 0.221
Symmetry: C2/m (12)

Cell and atoms, written as CIF:
```
data_Tb4Pr5Dy3
_cell_length_a 5.750
_cell_length_b 5.750
_cell_length_c 15.041
_cell_angle_alpha 106.21
_cell_angle_beta 106.21
_cell_angle_gamma 61.34
_symmetry_space_group_name_H-M 'P 1'
_symmetry_Int_Tables_number 1
loop_
_symmetry_equiv_pos_as_xyz
'x,y,z'
loop_
_atom_site_label
_atom_site_type_symbol
_atom_site_fract_x
_atom_site_fract_y
_atom_site_fract_z
_atom_site_occupancy
Tb1 Tb 0.062 0.062 0.125 1
Tb2 Tb 0.178 0.178 0.359 1
Tb3 Tb 0.822 0.822 0.641 1
Tb4 Tb 0.938 0.938 0.875 1
Pr1 Pr 0.000 0.000 0.500 1
Pr2 Pr 0.332 0.332 0.001 1
Pr3 Pr 0.455 0.455 0.255 1
Pr4 Pr 0.545 0.545 0.745 1
Pr5 Pr 0.668 0.668 0.999 1
Dy1 Dy 0.205 0.205 0.748 1
Dy2 Dy 0.500 0.500 0.500 1
Dy3 Dy 0.795 0.795 0.252 1
```

Here is a relaxed MnGePCl2 crystal from Alexandria. Energies are from PBE.

Values from the calculation:
Uncorrected formation energy, eV/atom: 0.31
Symmetry: P4/mmm (123)

Cell and atoms, written as CIF:
```
data_MnGePCl2
_cell_length_a 4.846
_cell_length_b 4.846
_cell_length_c 5.059
_cell_angle_alpha 90.00
_cell_angle_beta 90.00
_cell_angle_gamma 90.00
_symmetry_space_group_name_H-M 'P 1'
_symmetry_Int_Tables_number 1
loop_
_symmetry_equiv_pos_as_xyz
'x,y,z'
loop_
_atom_site_label
_atom_site_type_symbol
_atom_site_fract_x
_atom_site_fract_y
_atom_site_fract_z
_atom_site_occupancy
Mn1 Mn 0.000 0.000 0.000 1
Ge1 Ge 0.500 0.500 0.500 1
P1 P 0.500 0.500 0.000 1
Cl1 Cl 0.000 0.500 0.500 1
Cl2 Cl 0.500 0.000 0.500 1
```

Here is a relaxed TiInSi3 crystal from Alexandria. Energies are from PBE.

Values from the calculation:
Uncorrected formation energy, eV/atom: 0.46
Symmetry: Pm-3m (221)

Cell and atoms, written as CIF:
```
data_TiInSi3
_cell_length_a 4.848
_cell_length_b 4.848
_cell_length_c 4.848
_cell_angle_alpha 90.00
_cell_angle_beta 90.00
_cell_angle_gamma 90.00
_symmetry_space_group_name_H-M 'P 1'
_symmetry_Int_Tables_number 1
loop_
_symmetry_equiv_pos_as_xyz
'x,y,z'
loop_
_atom_site_label
_atom_site_type_symbol
_atom_site_fract_x
_atom_site_fract_y
_atom_site_fract_z
_atom_site_occupancy
Ti1 Ti 0.000 0.000 0.000 1
In1 In 0.500 0.500 0.500 1
Si1 Si 0.000 0.000 0.500 1
Si2 Si 0.000 0.500 0.000 1
Si3 Si 0.500 0.000 0.000 1
```

Here is a relaxed Si2AuI crystal from Alexandria. Energies are from PBE.

Values from the calculation:
Uncorrected formation energy, eV/atom: 0.41
Symmetry: I-42d (122)

Cell and atoms, written as CIF:
```
data_Si2AuI
_cell_length_a 7.475
_cell_length_b 7.475
_cell_length_c 7.475
_cell_angle_alpha 131.56
_cell_angle_beta 131.56
_cell_angle_gamma 70.93
_symmetry_space_group_name_H-M 'P 1'
_symmetry_Int_Tables_number 1
loop_
_symmetry_equiv_pos_as_xyz
'x,y,z'
loop_
_atom_site_label
_atom_site_type_symbol
_atom_site_fract_x
_atom_site_fract_y
_atom_site_fract_z
_atom_site_occupancy
Si1 Si 0.039 0.625 0.914 1
Si2 Si 0.375 0.289 0.414 1
Si3 Si 0.711 0.125 0.086 1
Si4 Si 0.875 0.961 0.586 1
Au1 Au 0.000 0.000 0.000 1
Au2 Au 0.750 0.250 0.500 1
I1 I 0.250 0.750 0.500 1
I2 I 0.500 0.500 0.000 1
```